Entry 1:
Entry from Alexandria: a PBEsol-optimized structure of Be2RePb (SCAN).

a b c (Å): 3.6224 3.6224 8.3859
angles (deg): 90.00 90.00 90.00
With the nearest neighbours (Å) after each atom.
Space group I-4m2 (No. 119)
Inequivalent atoms, fractional coordinates:
Be  0.0000  0.0000  0.0000 x2  4 Pb 2.56, 4 Re 2.77, 4 Be 2.77
Be  0.0000  0.5000  0.2500 x2  4 Re 2.56, 4 Pb 2.77, 4 Be 2.77
Re  0.0000  0.5000  0.7500 x2  8 Be 2.56-2.77, 4 Pb 2.77
Pb  0.0000  0.0000  0.5000 x2  8 Be 2.56-2.77, 4 Re 2.77

Output
The formation energy from the elements is 13.0 kcal/mol of atoms. The density of states at the Fermi level is 1.21 states/eV/f.u. The energy is -38.334 eV/atom. The mass density comes out at 12.4 g/cm3.

Entry 2:
Entry from Alexandria: a PBEsol-optimized structure of Al2RuAu (SCAN).

a b c (Å): 5.7668 6.4606 3.0654
angles (deg): 90.00 90.00 90.00
With the nearest neighbours (Å) after each atom.
Space group Cmmm (No. 65)
Inequivalent atoms, fractional coordinates:
Al  0.2500  0.2500  0.0000 x4  4 Ru 2.65, 4 Au 2.65, 2 Al 2.88
Ru  0.0000  0.0000  0.5000 x2  8 Al 2.65, 2 Au 2.88
Au  0.0000  0.5000  0.5000 x2  8 Al 2.65, 2 Ru 2.88

Output
The formation energy from the elements is -16.6 kcal/mol of atoms. The density of states at the Fermi level is 1.14 states/eV/f.u. The energy is -30.590 eV/atom. The mass density comes out at 10.2 g/cm3.

Entry 3:
Entry from Alexandria: a PBEsol-optimized structure of ScTa2PtO (SCAN).

a b c (Å): 5.0463 5.0463 3.7960
angles (deg): 90.00 90.00 90.00
With the nearest neighbours (Å) after each atom.
Space group P4/mmm (No. 123)
Inequivalent atoms, fractional coordinates:
Sc  0.0000  0.0000  0.0000 x1  8 Ta 3.16
Ta  0.0000  0.5000  0.5000 x2  2 Pt 2.52
Pt  0.5000  0.5000  0.5000 x1  2 O 1.90
O  0.5000  0.5000  0.0000 x1  2 Pt 1.90

Output
The density of states at the Fermi level is 7.25 states/eV/f.u. The energy is -43.912 eV/atom. The mass density comes out at 10.6 g/cm3. As for the formation energy without anion corrections: 853 meV/atom.

Entry 4:
Entry from Alexandria: a PBEsol-optimized structure of Cd2InAg (SCAN).

a b c (Å): 9.6260 3.1315 5.5097
angles (deg): 90.00 101.40 90.00
With the nearest neighbours (Å) after each atom.
Space group Cm (No. 8)
Inequivalent atoms, fractional coordinates:
Cd  0.0000  0.0000  0.0000 x2  3 Ag 2.91-3.03, 5 Cd 2.96-3.13, 4 In 3.09-3.25
Cd  0.2473  0.0000  0.7559 x2  5 Cd 2.96-3.13, 3 In 3.03-3.07, 4 Ag 3.10-3.24
In  0.4901  0.0000  0.4791 x2  3 Ag 2.93-2.99, 7 Cd 3.03-3.25, 2 In 3.13
Ag  0.2431  0.5000  0.2399 x2  7 Cd 2.91-3.24, 3 In 2.93-2.99, 2 Ag 3.13

Output
The formation energy from the elements is 0.8 kcal/mol of atoms. The density of states at the Fermi level is 1.23 states/eV/f.u. The energy is -31.360 eV/atom. The mass density comes out at 9.1 g/cm3.

Entry 5:
Entry from Alexandria: a PBEsol-optimized structure of Ca3Si2Ni3 (SCAN).

a b c (Å): 15.6364 3.8947 11.4016
angles (deg): 90.00 90.00 90.00
With the nearest neighbours (Å) after each atom.
Space group Pnma (No. 62)
Inequivalent atoms, fractional coordinates:
Ca  0.1410  0.2500  0.1101 x4  3 Ni 2.91-2.99, 3 Si 3.05-3.06
Ca  0.1449  0.2500  0.4433 x4  3 Ni 2.81-2.87, 2 Si 3.14
Ca  0.1616  0.2500  0.7770 x4  3 Ni 2.78-2.97, 1 Si 2.95
Si  0.0025  0.7500  0.3509 x4  6 Ni 2.27-2.47
Si  0.0501  0.7500  0.9443 x4  4 Ni 2.28-2.30
Ni  0.0040  0.7500  0.1338 x4  4 Si 2.28-2.47, 2 Ni 2.40
Ni  0.0194  0.7500  0.7476 x4  3 Si 2.27-2.29, 3 Ni 2.34-2.40
Ni  0.0382  0.7500  0.5443 x4  3 Si 2.28-2.37, 3 Ni 2.34-2.50

Output
The density of states at the Fermi level is 4.86 states/eV/f.u. The energy is -12.606 eV/atom. The mass density comes out at 3.4 g/cm3. As for the formation energy without anion corrections: -413 meV/atom.

Entry 6:
Entry from Alexandria: a PBEsol-optimized structure of Sr4Nb5O15 (SCAN).

a b c (Å): 17.0526 5.6865 6.9661
angles (deg): 90.00 105.75 90.00
With the nearest neighbours (Å) after each atom.
Space group C2/m (No. 12)
Inequivalent atoms, fractional coordinates:
Sr  0.0972  0.0000  0.3917 x4  12 O 2.78-2.88
Sr  0.1969  0.5000  0.8017 x4  12 O 2.78-2.89
Nb  0.0000  0.5000  0.5000 x2  6 O 2.01-2.02
Nb  0.0983  0.0000  0.8997 x4  6 O 1.98-2.04
Nb  0.1987  0.5000  0.2969 x4  6 O 2.00-2.03
O  0.0000  0.0000  0.0000 x2  2 Nb 1.98
O  0.0515  0.2438  0.6920 x8  2 Nb 2.01
O  0.1024  0.5000  0.4080 x4  2 Nb 2.00-2.02
O  0.1554  0.2438  0.1005 x8  2 Nb 2.00-2.02
O  0.1989  0.0000  0.7951 x4  2 Nb 2.02-2.04
O  0.2500  0.2500  0.5000 x4  2 Nb 2.03

Output
The density of states at the Fermi level is 5.07 states/eV/f.u. The energy is -17.531 eV/atom. The mass density comes out at 5.4 g/cm3. As for the formation energy without anion corrections: -3022 meV/atom.

Entry 7:
Entry from Alexandria: a PBEsol-optimized structure of PPt3F (SCAN).

a b c (Å): 4.4058 4.4058 4.4058
angles (deg): 90.00 90.00 90.00
With the nearest neighbours (Å) after each atom.
Space group Pm-3m (No. 221)
Inequivalent atoms, fractional coordinates:
P  0.0000  0.0000  0.0000 x1  6 Pt 2.20
Pt  0.0000  0.0000  0.5000 x3  2 P 2.20
F  0.5000  0.5000  0.5000 x1  12 Pt 3.12

Output
The density of states at the Fermi level is 1.36 states/eV/f.u. The energy is -44.699 eV/atom. The mass density comes out at 12.3 g/cm3. As for the formation energy without anion corrections: 205 meV/atom. As for the energy relative to the lowest polymorph listed for this composition: 0 meV/atom.

Entry 8:
Entry from Alexandria: a PBEsol-optimized structure of PbCI3 (SCAN).

a b c (Å): 6.0652 6.0652 6.0652
angles (deg): 90.00 90.00 90.00
With the nearest neighbours (Å) after each atom.
Space group Pm-3m (No. 221)
Inequivalent atoms, fractional coordinates:
Pb  0.0000  0.0000  0.0000 x1  6 I 3.03
C  0.5000  0.5000  0.5000 x1  12 I 4.29
I  0.0000  0.0000  0.5000 x3  2 Pb 3.03

Output
The density of states at the Fermi level is 11.31 states/eV/f.u. The energy is -37.816 eV/atom. The mass density comes out at 4.5 g/cm3. As for the formation energy without anion corrections: 1406 meV/atom.

- The lowest mass density belongs to which entry?
  Ca3Si2Ni3

- energy of number 1 (Be2RePb)?
  -38.334 eV/atom